First-principles (PBE) data for a geometry-optimized YZrAu structure, as listed in Alexandria via LeMat-Bulk.

Lattice parameters (Å, degrees): 4.8347 4.8347 4.8347 60.00 60.00 60.00
Sites, in units of the cell vectors:
Y: 0.0000 0.0000 0.0000
Zr: 0.5000 0.5000 0.5000
Au: 0.7500 0.7500 0.7500

Values from the calculation:
**Formation energy from the elements**: -153 meV per atom
**Theoretical density**: 7.84 g cm⁻³
**V**: 79.9 Å³/cell
**Energy relative to the lowest polymorph listed for this composition**: 103 kJ/mol of formula units



First-principles (PBE) data for a geometry-optimized Y4ZrAu structure, as listed in Alexandria via LeMat-Bulk.

Lattice parameters (Å, degrees): 6.2042 6.2042 6.2042 60.00 60.00 60.00
Sites, in units of the cell vectors:
Y: 0.1246 0.1246 0.1246
Y: 0.1246 0.1246 0.6261
Y: 0.1246 0.6261 0.1246
Y: 0.6261 0.1246 0.1246
Zr: 0.7500 0.7500 0.7500
Au: 0.5000 0.5000 0.5000

Values from the calculation:
**Formation energy from the elements**: 439 meV per atom
**Theoretical density**: 6.33 g cm⁻³
**V**: 168.9 Å³/cell



First-principles (PBE) data for a geometry-optimized YZr2Au structure, as listed in Alexandria via LeMat-Bulk.

Lattice parameters (Å, degrees): 5.0541 5.0541 5.0541 60.00 60.00 60.00
Sites, in units of the cell vectors:
Y: 0.0000 0.0000 0.0000
Zr: 0.5000 0.5000 0.5000
Zr: 0.7500 0.7500 0.7500
Au: 0.2500 0.2500 0.2500

Values from the calculation:
**Formation energy from the elements**: -87 meV per atom
**Theoretical density**: 8.52 g cm⁻³
**V**: 91.3 Å³/cell
**Energy relative to the lowest polymorph listed for this composition**: 90 kJ/mol of formula units



no.,energy (eV/atom),M_tot (μB/atom)
1,-6.25,0.351
2,-5.84,0.230
3,-6.80,0.472